No. 1
A plane-wave DFT calculation with PBE was carried out for a relaxed AsOsF2 crystal.

```
AsOsF2
1.0
7.4560 0.0000 0.0000
0.0000 7.4560 0.0000
0.0000 0.0000 4.6854
As Os F
4 4 8
Cartesian
0.0000 0.0000 0.0000 As
0.0000 3.7280 1.1713 As
3.7280 0.0000 3.5140 As
3.7280 3.7280 2.3427 As
0.0000 0.0000 2.3427 Os
0.0000 3.7280 3.5140 Os
3.7280 0.0000 1.1713 Os
3.7280 3.7280 0.0000 Os
0.9479 5.5920 2.9284 F
1.8640 0.9479 1.7570 F
1.8640 2.7801 4.0997 F
2.7801 5.5920 0.5857 F
4.6759 1.8640 0.5857 F
5.5920 4.6759 4.0997 F
5.5920 6.5081 1.7570 F
6.5081 1.8640 2.9284 F
```

Results
Space-group type: I-42d (122)
Uncorrected formation energy (eV per formula unit): -0.90
Energy above the lowest structure with this stoichiometry (eV per atom): 0.0605
Calculated density (kg/m3): 7730

***

No. 2
A plane-wave DFT calculation with PBE was carried out for a relaxed VTcSeN2 crystal.

```
VTcSeN2
1.0
3.7638 0.0000 0.0000
0.0000 3.7638 0.0000
0.0000 0.0000 5.1748
V Tc Se N
1 1 1 2
Cartesian
0.0000 0.0000 0.0000 V
1.8819 1.8819 2.5874 Tc
0.0000 0.0000 2.5874 Se
0.0000 1.8819 0.0000 N
1.8819 0.0000 0.0000 N
```

Results
Space-group type: P4/mmm (123)
Uncorrected formation energy (eV per formula unit): 3.47
Energy above the lowest structure with this stoichiometry (eV per atom): 0.0000
Calculated density (kg/m3): 5797

***

No. 3
A plane-wave DFT calculation with PBE was carried out for a relaxed HfZn2HgOs crystal.

```
HfZn2HgOs
1.0
5.0739 0.0000 0.0000
0.0000 5.0739 0.0000
0.0000 0.0000 5.3285
Hf Zn Hg Os
1 2 1 1
Cartesian
0.0000 0.0000 0.0000 Hf
0.0000 2.5369 0.0000 Zn
2.5369 0.0000 0.0000 Zn
0.0000 0.0000 2.6643 Hg
2.5369 2.5369 2.6643 Os
```

Results
Space-group type: P4/mmm (123)
Calculated formation energy (meV per atom): 1962
Calculated density (kg/m3): 8475

***

No. 4
A plane-wave DFT calculation with PBE was carried out for a relaxed La3TbZn2 crystal.

```
La3TbZn2
1.0
5.3057 0.0000 0.0000
0.0000 9.5606 0.0000
0.0000 0.0000 6.8195
La Tb Zn
6 2 4
Cartesian
0.0000 0.5637 0.0000 La
0.0000 3.1757 2.1365 La
0.0000 6.3850 5.5462 La
0.0000 8.9969 3.4097 La
2.6528 1.6673 4.6108 La
2.6528 7.8934 1.2010 La
2.6528 4.2607 0.0581 Tb
2.6528 5.2999 3.4678 Tb
0.0000 3.3513 5.3466 Zn
0.0000 6.2093 1.9369 Zn
2.6528 1.5167 1.4726 Zn
2.6528 8.0440 4.8823 Zn
```

Results
Space-group type: Pmc2_1 (26)
Energy above the lowest structure with this stoichiometry (eV per atom): 0.0000
Calculated formation energy (meV per atom): -208
Calculated density (kg/m3): 6782

***

No. 5
A plane-wave DFT calculation with PBE was carried out for a relaxed HgPdN2O crystal.

```
HgPdN2O
1.0
4.2210 0.0000 0.0000
0.0000 4.2210 0.0000
0.0000 0.0000 4.3230
Hg Pd N O
1 1 2 1
Cartesian
0.0000 0.0000 0.0000 Hg
2.1105 2.1105 2.1615 Pd
0.0000 2.1105 0.0000 N
2.1105 0.0000 0.0000 N
0.0000 0.0000 2.1615 O
```

Results
Space-group type: P4/mmm (123)
Uncorrected formation energy (eV per formula unit): 10.77
Calculated density (kg/m3): 7568

***

No. 6
A plane-wave DFT calculation with PBE was carried out for a relaxed Zn2NiB2Pt5 crystal.

```
Zn2NiB2Pt5
1.0
9.1991 0.0000 0.0000
0.0000 9.1991 0.0000
0.0000 0.0000 3.1479
Zn Ni B Pt
4 2 4 10
Cartesian
1.6153 2.9842 0.0000 Zn
2.9842 7.5838 0.0000 Zn
6.2148 1.6153 0.0000 Zn
7.5838 6.2148 0.0000 Zn
0.0000 0.0000 0.0000 Ni
4.5995 4.5995 0.0000 Ni
1.2089 5.8084 0.0000 B
3.3907 1.2089 0.0000 B
5.8084 7.9902 0.0000 B
7.9902 3.3907 0.0000 B
0.0000 4.5995 1.5739 Pt
0.6989 7.2615 1.5739 Pt
1.9375 0.6989 1.5739 Pt
2.6620 5.2984 1.5739 Pt
3.9006 2.6620 1.5739 Pt
4.5995 0.0000 1.5739 Pt
5.2984 6.5370 1.5739 Pt
6.5370 3.9006 1.5739 Pt
7.2615 8.5002 1.5739 Pt
8.5002 1.9375 1.5739 Pt
```

Results
Space-group type: P4/mbm (127)
Calculated formation energy (meV per atom): -225
Calculated density (kg/m3): 14793

***

No. 7
A plane-wave DFT calculation with PBE was carried out for a relaxed Ta2TlRe crystal.

```
Ta2TlRe
1.0
4.0613 0.0000 0.0000
0.0000 4.0613 0.0000
0.0000 0.0000 8.7982
Ta Tl Re
4 2 2
Cartesian
0.0000 0.0000 0.0000 Ta
0.0000 2.0307 2.1995 Ta
2.0307 0.0000 6.5986 Ta
2.0307 2.0307 4.3991 Ta
0.0000 2.0307 6.5986 Tl
2.0307 0.0000 2.1995 Tl
0.0000 0.0000 4.3991 Re
2.0307 2.0307 0.0000 Re
```

Results
Space-group type: I-4m2 (119)
Energy above the lowest structure with this stoichiometry (eV per atom): 0.2586
Calculated formation energy (meV per atom): 464
Calculated density (kg/m3): 17221

***

No. 8
A plane-wave DFT calculation with PBE was carried out for a relaxed CrSi2TcRh crystal.

```
CrSi2TcRh
1.0
4.3412 0.0000 0.0000
0.0000 4.3412 0.0000
0.0000 0.0000 4.4487
Cr Si Tc Rh
1 2 1 1
Cartesian
0.0000 0.0000 0.0000 Cr
0.0000 2.1706 0.0000 Si
2.1706 0.0000 0.0000 Si
2.1706 2.1706 2.2244 Tc
0.0000 0.0000 2.2244 Rh
```

Results
Space-group type: P4/mmm (123)
Uncorrected formation energy (eV per formula unit): 4.87
Energy above the lowest structure with this stoichiometry (eV per atom): 0.1324
Calculated density (kg/m3): 6121

***

No. 9
A plane-wave DFT calculation with PBE was carried out for a relaxed YTm2Bi crystal.

```
YTm2Bi
1.0
3.6384 0.0000 0.0000
-1.8192 3.1509 0.0000
0.0000 0.0000 32.0545
Y Tm Bi
3 6 3
Cartesian
0.0000 0.0000 0.0000 Y
0.0000 2.1006 21.3697 Y
1.8192 1.0503 10.6848 Y
0.0000 0.0000 18.6041 Tm
0.0000 0.0000 24.1586 Tm
0.0000 2.1006 7.9193 Tm
0.0000 2.1006 13.4738 Tm
1.8192 1.0503 2.7890 Tm
1.8192 1.0503 29.2890 Tm
0.0000 0.0000 5.3476 Bi
0.0000 2.1006 26.7173 Bi
1.8192 1.0503 16.0324 Bi
```

Results
Space-group type: R3m (160)
Energy above the lowest structure with this stoichiometry (eV per atom): 0.1957
Calculated formation energy (meV per atom): -183
Calculated density (kg/m3): 8618

***

No. 10
A plane-wave DFT calculation with PBE was carried out for a relaxed Tb2FeHg crystal.

```
Tb2FeHg
1.0
3.4755 0.0000 0.0000
0.0000 3.4755 0.0000
0.0000 0.0000 7.5665
Tb Fe Hg
2 1 1
Cartesian
0.0000 0.0000 1.6415 Tb
0.0000 0.0000 5.9250 Tb
1.7377 1.7377 0.0000 Fe
1.7377 1.7377 3.7832 Hg
```

Results
Space-group type: P4/mmm (123)
Energy above the lowest structure with this stoichiometry (eV per atom): 0.0000
Calculated formation energy (meV per atom): -177
Calculated density (kg/m3): 10434

***

No. 11
A plane-wave DFT calculation with PBE was carried out for a relaxed TlCdPb2 crystal.

```
TlCdPb2
1.0
4.8341 0.0000 0.0000
0.0000 4.8341 0.0000
0.0000 0.0000 10.0585
Tl Cd Pb
2 2 4
Cartesian
0.0000 0.0000 0.0000 Tl
2.4170 2.4170 5.0293 Tl
0.0000 0.0000 5.0293 Cd
2.4170 2.4170 0.0000 Cd
0.0000 2.4170 2.5146 Pb
0.0000 2.4170 7.5439 Pb
2.4170 0.0000 2.5146 Pb
2.4170 0.0000 7.5439 Pb
```

Results
Space-group type: I4/mmm (139)
Energy above the lowest structure with this stoichiometry (eV per atom): 0.0221
Calculated formation energy (meV per atom): 39
Calculated density (kg/m3): 10331

***

No. 12
A plane-wave DFT calculation with PBE was carried out for a relaxed Ac2SnHgO6 crystal.

```
Ac2SnHgO6
1.0
5.9675 0.0000 0.0000
0.0000 6.3293 0.0000
-5.8767 0.0000 8.3733
Ac Sn Hg O
4 2 2 12
Cartesian
-0.0750 0.3952 2.0833 Ac
-3.0133 2.7694 6.2699 Ac
3.1041 3.5599 2.1033 Ac
0.1658 5.9341 6.2900 Ac
2.9837 0.0000 0.0000 Sn
0.0454 3.1647 4.1866 Sn
-2.9383 0.0000 4.1866 Hg
0.0000 3.1647 0.0000 Hg
-4.6314 1.0757 7.9423 O
-1.6931 2.0889 3.7557 O
-3.8917 4.5428 7.8199 O
-0.9533 4.9512 3.6333 O
-2.2177 0.3363 6.3943 O
0.7206 2.8284 2.2076 O
-0.6298 3.5009 6.1656 O
2.3085 5.9931 1.9790 O
1.0441 1.3781 4.7400 O
3.9825 1.7865 0.5534 O
1.7839 4.2404 4.6176 O
4.7222 5.2536 0.4309 O
```

Results
Space-group type: P2_1/c (14)
Uncorrected formation energy (eV per formula unit): -22.44
Calculated density (kg/m3): 9129